[1]
The following is a PBE calculation of crystalline SrPm2ReO8 at its relaxed geometry, from the Alexandria database.

Properties
As for the symmetry: P-1 (2). The uncorrected formation energy is -2827 kJ/mol of formula units.

Geometry as extended XYZ:
```
12
Lattice="-0.422 -3.536 -3.778 0.431 -3.240 3.204 -6.589 -1.495 2.148" Properties=species:S:1:pos:R:3 pbc="T T T"
Sr -3.295 -0.747 1.074
Pm -5.198 -4.198 1.083
Pm -1.382 -4.073 0.491
Re 0.000 0.000 0.000
O -1.730 -6.093 -1.070
O -5.842 -6.561 1.464
O -0.894 -3.199 -1.965
O -4.849 -2.178 2.643
O -0.738 -1.710 0.109
O -5.686 -5.072 3.538
O -3.142 -4.986 1.623
O -3.438 -3.285 -0.049
```

=====

[2]
The following is a PBE calculation of crystalline TbPm2ReO8 at its relaxed geometry, from the Alexandria database.

Properties
As for the symmetry: Cmmm (65). The uncorrected formation energy is -3138 kJ/mol of formula units.

Geometry as extended XYZ:
```
12
Lattice="-1.333 -3.440 3.604 1.739 -3.776 -3.053 6.233 0.568 2.846" Properties=species:S:1:pos:R:3 pbc="T T T"
Tb 3.116 0.284 1.423
Pm 4.879 -3.182 2.412
Pm 1.759 -3.466 0.986
Re 0.000 0.000 0.000
O 2.475 -3.598 -1.290
O 0.301 -5.335 0.405
O 0.490 -3.385 3.010
O 4.163 -3.050 4.688
O 6.337 -1.313 2.993
O 6.149 -3.263 0.388
O 3.400 -4.742 1.804
O 3.238 -1.906 1.593
```

=====

[3]
The following is a PBE calculation of crystalline PmReTc2O8 at its relaxed geometry, from the Alexandria database.

Properties
As for the symmetry: Cmmm (65). The uncorrected formation energy is -2059 kJ/mol of formula units.

Geometry as extended XYZ:
```
12
Lattice="-0.809 -1.984 -4.419 4.625 0.905 -1.380 1.713 -5.479 2.146" Properties=species:S:1:pos:R:3 pbc="T T T"
Pm 0.857 -2.740 1.073
Re 0.000 0.000 0.000
Tc 3.232 -4.772 -1.242
Tc 2.298 -1.785 -2.412
O 3.818 -0.862 -1.583
O 4.451 -6.253 -2.015
O 0.716 -2.512 -3.318
O 1.711 -5.695 -2.071
O 1.078 -0.305 -1.638
O 4.813 -4.046 -0.336
O 3.405 -3.460 -2.799
O 2.124 -3.098 -0.854
```

=====

Mass density (g/cm³)
7.09 6.93 7.36